Below is a geometry-optimized ScPaCdAu structure, with properties calculated at the PBE level.

Lattice parameters (Å, degrees): 5.082 5.082 5.082 60.00 60.00 60.00
Element x y z (fractional)
1 Pa 0.750 0.750 0.750
2 Cd 0.500 0.500 0.500
3 Sc 0.250 0.250 0.250
4 Au 0.000 0.000 0.000

- mass density (g/cm³) = 10.48
- DOS at the Fermi energy (states/eV per atom) = 2.07
- uncorrected energy (eV per cell) = -20.471
- volume (Å³ per cell) = 92.8

***

Below is a geometry-optimized MnReSe2 structure, with properties calculated at the PBE level.

Lattice parameters (Å, degrees): 3.738 3.735 6.386 89.91 90.00 90.00
Element x y z (fractional)
1 Se 0.500 0.376 0.367
2 Se 0.000 0.874 0.883
3 Re 0.500 0.875 0.625
4 Mn 0.000 0.375 0.625

- raw formation energy (eV/f.u.) = -0.545
- mass density (g/cm³) = 7.43
- DOS at the Fermi energy (states/eV per atom) = 0.30
- volume (Å³ per cell) = 89.1